# Ca3In4Au2

An optimized crystal structure of Ca3In4Au2 (PBE, Alexandria via LeMat-Bulk).

- Density of states at the Fermi level: 4.6 states/eV per cell
- DFT total energy: -3.182 eV/atom
- Crystal system: monoclinic

Cell lengths 4.814, 6.185, 8.907 Å; angles 73.81, 74.32, 67.10 degrees
Atoms (fractional coordinates):
Au  0.405  0.925  0.265
Au  0.595  0.075  0.735
In  0.735  0.609  0.921
In  0.019  0.318  0.644
In  0.981  0.682  0.356
In  0.265  0.391  0.079
Ca  0.000  0.000  0.000
Ca  0.684  0.272  0.361
Ca  0.316  0.728  0.639

# CaInAu

An optimized crystal structure of CaInAu (PBE, Alexandria via LeMat-Bulk).

- Density of states at the Fermi level: 3.5 states/eV per cell
- DFT total energy: -3.251 eV/atom
- Crystal system: tetragonal

Cell lengths 4.455, 4.461, 7.649 Å; angles 90.00, 90.00, 90.01 degrees
Atoms (fractional coordinates):
Au  0.814  0.867  0.172
Au  0.314  0.366  0.667
Ca  0.814  0.867  0.569
Ca  0.314  0.367  0.270
In  0.314  0.866  0.919
In  0.814  0.366  0.920

# Ca6In5Au

An optimized crystal structure of Ca6In5Au (PBE, Alexandria via LeMat-Bulk).

- Density of states at the Fermi level: 7.1 states/eV per cell
- DFT total energy: -2.928 eV/atom
- Crystal system: monoclinic

Cell lengths 5.381, 7.655, 8.565 Å; angles 90.00, 71.59, 90.00 degrees
Atoms (fractional coordinates):
Ca  0.160  0.246  0.681
Ca  0.500  0.238  0.000
Ca  0.840  0.246  0.319
Ca  0.500  0.762  0.000
Ca  0.840  0.754  0.319
Ca  0.160  0.754  0.681
In  0.671  0.500  0.658
In  0.329  0.500  0.342
In  0.323  0.000  0.351
In  0.677  0.000  0.649
In  0.000  0.500  0.000
Au  0.000  0.000  0.000

Question: Which formula does entry 1 have?
Answer: Ca3In4Au2